Entry 1:
# GGA-PBE Ta6GaRu5, relaxed
# Energy relative to the elements: -0.26 eV per atom
# Size of the total moment: 0.00 μB per cell
# DFT total energy: -10.306 eV/atom
data_Ta6GaRu5
_chemical_formula_sum 'Ta12 Ga2 Ru10'
_cell_length_a 4.219
_cell_length_b 7.322
_cell_length_c 12.521
_cell_angle_alpha 90.00
_cell_angle_beta 90.00
_cell_angle_gamma 90.00
_symmetry_space_group_name_H-M 'I m m m'
_symmetry_Int_Tables_number 71
_symmetry_space_group_name_Hall '-I 2 2'
loop_
_atom_site_label
_atom_site_type_symbol
_atom_site_fract_x
_atom_site_fract_y
_atom_site_fract_z
_atom_site_occupancy
Ta1 Ta 0.000 0.239 0.000 1
Ta2 Ta 0.000 0.258 0.332 1
Ga1 Ga 0.000 0.000 0.500 1
Ru1 Ru 0.000 0.000 0.172 1
Ru2 Ru 0.000 0.500 0.159 1
Ru3 Ru 0.000 0.500 0.500 1

Entry 2:
# GGA-PBE Th2TaGa2Ru5, relaxed
# Energy relative to the elements: -0.43 eV per atom
# Size of the total moment: 0.00 μB per cell
# DFT total energy: -8.342 eV/atom
data_Th2TaGa2Ru5
_chemical_formula_sum 'Th4 Ta2 Ga4 Ru10'
_cell_length_a 10.254
_cell_length_b 10.254
_cell_length_c 3.398
_cell_angle_alpha 90.00
_cell_angle_beta 90.00
_cell_angle_gamma 90.00
_symmetry_space_group_name_H-M 'P 4/m b m'
_symmetry_Int_Tables_number 127
_symmetry_space_group_name_Hall '-P 4 2ab'
loop_
_atom_site_label
_atom_site_type_symbol
_atom_site_fract_x
_atom_site_fract_y
_atom_site_fract_z
_atom_site_occupancy
Th1 Th 0.173 0.327 0.000 1
Ta1 Ta 0.000 0.000 0.000 1
Ga1 Ga 0.125 0.625 0.000 1
Ru1 Ru 0.000 0.500 0.500 1
Ru2 Ru 0.066 0.798 0.500 1

Entry 3:
# GGA-PBE TaTiGaRu, relaxed
# Energy relative to the elements: -0.31 eV per atom
# Size of the total moment: 7.51 μB per cell
# DFT total energy: -8.325 eV/atom
data_TaTiGaRu
_chemical_formula_sum 'Ta4 Ti4 Ga4 Ru4'
_cell_length_a 6.310
_cell_length_b 6.310
_cell_length_c 6.310
_cell_angle_alpha 90.00
_cell_angle_beta 90.00
_cell_angle_gamma 90.00
_symmetry_space_group_name_H-M 'F -4 3 m'
_symmetry_Int_Tables_number 216
_symmetry_space_group_name_Hall 'F -4 2 3'
loop_
_atom_site_label
_atom_site_type_symbol
_atom_site_fract_x
_atom_site_fract_y
_atom_site_fract_z
_atom_site_occupancy
Ta1 Ta 0.000 0.000 0.000 1
Ti1 Ti 0.250 0.250 0.750 1
Ga1 Ga 0.000 0.000 0.500 1
Ru1 Ru 0.250 0.250 0.250 1

Question: Which of these has the highest DFT total energy?
Answer: TaTiGaRu

Question: DFT total energy of number 2 (Th2TaGa2Ru5)?
Answer: -8.342 eV/atom

Question: The highest size of the total moment belongs to which entry?
Answer: TaTiGaRu

Question: What is the energy relative to the elements in the first record?
Answer: -0.26 eV per atom